# 1
Cu5Ag2Au4 | GGA-PBE | optimized geometry

Properties
DOS(E_F): 0.18 states/eV per atom
total moment: 0.00 Bohr magnetons per cell
final energy: -38.80 eV for the cell shown
space-group type: No. 10
E_form: 0.045 eV/atom

```
Cu5Ag2Au4
1.0
-0.748 -2.564 -0.862
3.295 1.105 -6.144
6.019 -3.765 5.980
Cu Ag Au
5 2 4
Direct
0.000 0.499 0.371 Cu
0.000 0.929 0.111 Cu
0.000 0.500 0.000 Cu
0.000 0.071 0.889 Cu
0.000 0.501 0.629 Cu
0.000 0.860 0.586 Ag
0.000 0.140 0.414 Ag
0.500 0.252 0.730 Au
0.500 0.730 0.861 Au
0.500 0.748 0.270 Au
0.500 0.270 0.139 Au
```



# 2
Cu2AgAu | GGA-PBE | optimized geometry

Properties
polymorph energy (0 for the lowest one): 0.011 eV per atom
DOS(E_F): 0.26 states/eV per atom
total moment: 0.00 Bohr magnetons per cell
final energy: -14.21 eV for the cell shown
space-group type: No. 119
E_form: 0.027 eV/atom

```
Cu2AgAu
1.0
-2.981 -3.686 -1.140
1.923 -2.885 -3.428
1.687 1.748 4.227
Au Cu Ag
1 2 1
Direct
0.750 0.250 0.500 Au
0.000 0.000 0.000 Cu
0.250 0.750 0.500 Cu
0.500 0.500 0.000 Ag
```



# 3
CuAg4Au3 | GGA-PBE | optimized geometry

Properties
polymorph energy (0 for the lowest one): 0.002 eV per atom
DOS(E_F): 0.23 states/eV per atom
total moment: 0.00 Bohr magnetons per cell
final energy: -25.02 eV for the cell shown
space-group type: No. 12
E_form: 0.040 eV/atom

```
CuAg4Au3
1.0
4.136 0.000 -0.825
-0.025 2.913 -0.124
0.224 1.819 11.911
Au Ag Cu
3 4 1
Direct
0.000 0.500 0.000 Au
0.843 0.151 0.686 Au
0.157 0.849 0.314 Au
0.595 0.412 0.190 Ag
0.405 0.588 0.810 Ag
0.282 0.716 0.563 Ag
0.718 0.284 0.437 Ag
0.500 0.000 0.000 Cu
```



# 4
Cu2AgAu6 | GGA-PBE | optimized geometry

Properties
DOS(E_F): 0.42 states/eV per atom
total moment: 0.00 Bohr magnetons per cell
final energy: -61.53 eV for the cell shown
space-group type: No. 136
E_form: -0.006 eV/atom

```
Cu2AgAu6
1.0
-3.073 -0.028 -2.739
-4.597 -5.059 5.209
-3.401 6.947 3.746
Cu Ag Au
4 2 12
Direct
0.000 0.327 0.827 Cu
0.500 0.827 0.673 Cu
0.500 0.173 0.327 Cu
0.000 0.673 0.173 Cu
0.500 0.500 0.000 Ag
0.000 0.000 0.500 Ag
0.000 0.002 0.172 Au
0.000 0.672 0.502 Au
0.000 0.663 0.837 Au
0.500 0.163 0.663 Au
0.500 0.172 0.998 Au
0.500 0.502 0.328 Au
0.000 0.998 0.828 Au
0.000 0.328 0.498 Au
0.000 0.337 0.163 Au
0.500 0.837 0.337 Au
0.500 0.828 0.002 Au
0.500 0.498 0.672 Au
```



Which formula does entry 2 have? Cu2AgAu



E_form of number 2 (Cu2AgAu)? 0.027 eV/atom



The lowest DOS(E_F) belongs to which entry? Cu5Ag2Au4



Which of these has the lowest DOS(E_F)? Cu5Ag2Au4